# 1
# PrSmHoAl (GGA-PBE, optimized geometry)
data_PrSmHoAl
_symmetry_space_group_name_H-M 'P 4 m m'
_symmetry_Int_Tables_number 99
_symmetry_space_group_name_Hall 'P 4 -2'
_cell_length_a 3.560
_cell_length_b 3.560
_cell_length_c 9.235
_cell_angle_alpha 90.00
_cell_angle_beta 90.00
_cell_angle_gamma 90.00
loop_
_atom_site_label
_atom_site_fract_x
_atom_site_fract_y
_atom_site_fract_z
Pr1 0.000 0.000 0.000
Sm1 0.500 0.500 0.701
Ho1 0.500 0.500 0.284
Al1 0.000 0.000 0.487
# Energy above the lowest structure with this stoichiometry (meV/atom): 0
# E_form (eV per atom): -0.181
# Crystal system: tetragonal


# 2
# Hf2AsH (GGA-PBE, optimized geometry)
data_Hf2AsH
_symmetry_space_group_name_H-M 'R -3 m'
_symmetry_Int_Tables_number 166
_symmetry_space_group_name_Hall '-R 3 2"'
_cell_length_a 3.4902
_cell_length_b 3.4902
_cell_length_c 18.1033
_cell_angle_alpha 90.00
_cell_angle_beta 90.00
_cell_angle_gamma 120.00
loop_
_atom_site_label
_atom_site_fract_x
_atom_site_fract_y
_atom_site_fract_z
Hf1 0.0000 0.0000 0.2359
As1 0.0000 0.0000 0.0000
H1 0.0000 0.0000 0.5000
# Energy above the lowest structure with this stoichiometry (meV/atom): 94
# Crystal system: trigonal


# 3
# Cs8TeP2 (GGA-PBE, optimized geometry)
data_Cs8TeP2
_symmetry_space_group_name_H-M 'I m m m'
_symmetry_Int_Tables_number 71
_symmetry_space_group_name_Hall '-I 2 2'
_cell_length_a 5.954
_cell_length_b 9.513
_cell_length_c 18.286
_cell_angle_alpha 90.00
_cell_angle_beta 90.00
_cell_angle_gamma 90.00
loop_
_atom_site_label
_atom_site_fract_x
_atom_site_fract_y
_atom_site_fract_z
Cs1 0.000 0.000 0.160
Cs2 0.000 0.219 0.338
Cs3 0.000 0.300 0.000
Te1 0.000 0.500 0.500
P1 0.000 0.500 0.180
# Energy relative to the elements, uncorrected (eV/atom): -0.357
# Crystal system: orthorhombic


# 4
# ZrSc2Ga (GGA-PBE, optimized geometry)
data_ZrSc2Ga
_symmetry_space_group_name_H-M 'P 1 21/m 1'
_symmetry_Int_Tables_number 11
_symmetry_space_group_name_Hall '-P 2yb'
_cell_length_a 4.127
_cell_length_b 4.139
_cell_length_c 10.366
_cell_angle_alpha 90.00
_cell_angle_beta 101.46
_cell_angle_gamma 90.00
loop_
_atom_site_label
_atom_site_fract_x
_atom_site_fract_y
_atom_site_fract_z
Zr1 0.196 0.250 0.393
Sc1 0.068 0.750 0.135
Sc2 0.433 0.750 0.865
Ga1 0.334 0.250 0.668
# E_form (eV per atom): -0.239
# Crystal system: monoclinic


# 5
# Pr2YCu9 (GGA-PBE, optimized geometry)
data_Pr2YCu9
_symmetry_space_group_name_H-M 'R -3 m'
_symmetry_Int_Tables_number 166
_symmetry_space_group_name_Hall '-R 3 2"'
_cell_length_a 5.2083
_cell_length_b 5.2083
_cell_length_c 25.5570
_cell_angle_alpha 90.00
_cell_angle_beta 90.00
_cell_angle_gamma 120.00
loop_
_atom_site_label
_atom_site_fract_x
_atom_site_fract_y
_atom_site_fract_z
Pr1 0.0000 0.0000 0.1403
Y1 0.0000 0.0000 0.0000
Cu1 0.0000 0.0000 0.3319
Cu2 0.0000 0.0000 0.5000
Cu3 0.0037 0.5018 0.0793
# E_form (eV per atom): -0.138
# Crystal system: trigonal


# 6
# Cr3CdP (GGA-PBE, optimized geometry)
data_Cr3CdP
_symmetry_space_group_name_H-M 'P m -3 m'
_symmetry_Int_Tables_number 221
_symmetry_space_group_name_Hall '-P 4 2 3'
_cell_length_a 5.007
_cell_length_b 5.007
_cell_length_c 5.007
_cell_angle_alpha 90.00
_cell_angle_beta 90.00
_cell_angle_gamma 90.00
loop_
_atom_site_label
_atom_site_fract_x
_atom_site_fract_y
_atom_site_fract_z
Cr1 0.000 0.000 0.500
Cd1 0.000 0.000 0.000
P1 0.500 0.500 0.500
# Energy above the lowest structure with this stoichiometry (meV/atom): 1349
# E_form (eV per atom): 1.737
# Crystal system: cubic


# 7
# TlAsS2 (GGA-PBE, optimized geometry)
data_TlAsS2
_symmetry_space_group_name_H-M 'F m -3 m'
_symmetry_Int_Tables_number 225
_symmetry_space_group_name_Hall '-F 4 2 3'
_cell_length_a 6.894
_cell_length_b 6.894
_cell_length_c 6.894
_cell_angle_alpha 90.00
_cell_angle_beta 90.00
_cell_angle_gamma 90.00
loop_
_atom_site_label
_atom_site_fract_x
_atom_site_fract_y
_atom_site_fract_z
Tl1 0.000 0.000 0.000
As1 0.000 0.000 0.500
S1 0.250 0.250 0.250
# Energy relative to the elements, uncorrected (eV/atom): 0.370
# Crystal system: cubic


# 8
# Tb2Y6Tm3 (GGA-PBE, optimized geometry)
data_Tb2Y6Tm3
_symmetry_space_group_name_H-M 'I 4/m m m'
_symmetry_Int_Tables_number 139
_symmetry_space_group_name_Hall '-I 4 2'
_cell_length_a 4.703
_cell_length_b 4.703
_cell_length_c 33.270
_cell_angle_alpha 90.00
_cell_angle_beta 90.00
_cell_angle_gamma 90.00
loop_
_atom_site_label
_atom_site_fract_x
_atom_site_fract_y
_atom_site_fract_z
Tb1 0.000 0.000 0.045
Y1 0.000 0.000 0.199
Y2 0.000 0.500 0.121
Tm1 0.000 0.000 0.302
Tm2 0.000 0.000 0.500
# Energy above the lowest structure with this stoichiometry (meV/atom): 76
# E_form (eV per atom): 0.303
# Crystal system: tetragonal